No. 1
First-principles (PBE-GGA) data for a relaxed Y8TlRh2 crystal, as listed in Alexandria.

Output
Total magnetic moment ... 0.00 Bohr magnetons per cell
Symmetry ... C2/m
ρ ... 6.0 Mg/m³
Volume ... 28.2 Å³/atom
Energy of formation from the pure elements ... -3.88 eV/f.u.
Electronic total energy ... -0.486 Ry/atom

```
11
Lattice="4.365 -6.703 0.000 4.365 6.703 0.000 -1.351 0.000 5.310" Properties=species:S:1:pos:R:3 pbc="T T T"
Y 0.990 1.725 3.059
Y 4.365 3.417 0.000
Y 0.990 -1.725 3.059
Y 3.129 0.000 1.034
Y 4.250 0.000 4.275
Y 6.389 1.725 2.251
Y 4.365 -3.417 0.000
Y 6.389 -1.725 2.251
Tl 0.000 0.000 0.000
Rh 3.690 2.618 2.655
Rh 3.690 -2.618 2.655
```

No. 2
First-principles (PBE-GGA) data for a relaxed Y2TlRh crystal, as listed in Alexandria.

Output
Total magnetic moment ... 0.00 Bohr magnetons per cell
Symmetry ... I-4m2
ρ ... 8.6 Mg/m³
Volume ... 23.5 Å³/atom
Energy of formation from the pure elements ... -1.40 eV/f.u.
Electronic total energy ... -0.442 Ry/atom

```
4
Lattice="-2.166 2.166 4.997 2.166 -2.166 4.997 2.166 2.166 -4.997" Properties=species:S:1:pos:R:3 pbc="T T T"
Y 0.000 0.000 0.000
Y 0.000 2.166 2.499
Tl 0.000 0.000 4.997
Rh 2.166 0.000 2.499
```

No. 3
First-principles (PBE-GGA) data for a relaxed YTl2Rh crystal, as listed in Alexandria.

Output
Total magnetic moment ... 0.00 Bohr magnetons per cell
Symmetry ... P4/mmm
ρ ... 10.9 Mg/m³
Volume ... 22.8 Å³/atom
Energy of formation from the pure elements ... -0.80 eV/f.u.
Electronic total energy ... -0.355 Ry/atom

```
4
Lattice="4.329 0.000 0.000 0.000 4.329 0.000 0.000 0.000 4.875" Properties=species:S:1:pos:R:3 pbc="T T T"
Y 0.000 0.000 0.000
Tl 0.000 2.164 2.437
Tl 2.164 0.000 2.437
Rh 2.164 2.164 0.000
```

No. 4
First-principles (PBE-GGA) data for a relaxed YTlRh crystal, as listed in Alexandria.

Output
Total magnetic moment ... 0.00 Bohr magnetons per cell
Symmetry ... P3m1
ρ ... 8.7 Mg/m³
Volume ... 25.1 Å³/atom
Energy of formation from the pure elements ... -0.82 eV/f.u.
Electronic total energy ... -0.417 Ry/atom

```
3
Lattice="4.090 0.000 0.000 -2.045 3.542 0.000 0.000 0.000 5.203" Properties=species:S:1:pos:R:3 pbc="T T T"
Y 0.000 0.000 0.000
Tl 2.045 1.181 2.852
Rh 0.000 2.362 1.497
```

No. 5
First-principles (PBE-GGA) data for a relaxed Y6TlRh2 crystal, as listed in Alexandria.

Output
Total magnetic moment ... 0.00 Bohr magnetons per cell
Symmetry ... Immm
ρ ... 6.6 Mg/m³
Volume ... 26.5 Å³/atom
Energy of formation from the pure elements ... -4.94 eV/f.u.
Electronic total energy ... -0.496 Ry/atom

```
18
Lattice="-4.725 4.869 5.190 4.725 -4.869 5.190 4.725 4.869 -5.190" Properties=species:S:1:pos:R:3 pbc="T T T"
Y 4.725 2.891 -2.722
Y 2.713 1.774 0.000
Y 6.736 1.774 0.000
Y 1.820 4.869 -1.781
Y 2.904 0.000 3.410
Y 0.000 1.978 2.469
Y 4.725 2.891 2.722
Y 1.820 4.869 1.781
Y 2.904 0.000 6.971
Y -2.011 3.095 5.190
Y 2.011 3.095 5.190
Y 0.000 1.978 7.912
Tl 0.000 0.000 0.000
Tl 0.000 0.000 5.190
Rh 4.725 0.000 1.355
Rh 0.000 3.286 0.000
Rh 0.000 6.451 0.000
Rh 0.000 4.869 3.835
```

No. 6
First-principles (PBE-GGA) data for a relaxed Y5Tl4Rh crystal, as listed in Alexandria.

Output
Total magnetic moment ... 0.46 Bohr magnetons per cell
Symmetry ... P4/mmm
ρ ... 8.7 Mg/m³
Volume ... 25.9 Å³/atom
Energy of formation from the pure elements ... -4.75 eV/f.u.
Electronic total energy ... -0.396 Ry/atom

```
10
Lattice="3.536 0.000 0.000 0.000 3.536 0.000 0.000 0.000 20.736" Properties=species:S:1:pos:R:3 pbc="T T T"
Y 0.000 0.000 0.000
Y 0.000 0.000 4.321
Y 0.000 0.000 8.699
Y 0.000 0.000 12.036
Y 0.000 0.000 16.414
Tl 1.768 1.768 2.156
Tl 1.768 1.768 6.465
Tl 1.768 1.768 14.270
Tl 1.768 1.768 18.580
Rh 1.768 1.768 10.368
```

No. 7
First-principles (PBE-GGA) data for a relaxed Y2TlRh crystal, as listed in Alexandria.

Output
Total magnetic moment ... 0.00 Bohr magnetons per cell
Symmetry ... I-42d
ρ ... 7.6 Mg/m³
Volume ... 26.3 Å³/atom
Energy of formation from the pure elements ... -1.02 eV/f.u.
Electronic total energy ... -0.435 Ry/atom

```
8
Lattice="-3.976 3.976 3.332 3.976 -3.976 3.332 3.976 3.976 -3.332" Properties=species:S:1:pos:R:3 pbc="T T T"
Y 5.965 1.588 -0.833
Y 1.588 1.988 0.833
Y -1.988 2.389 2.499
Y 2.389 1.988 4.165
Tl 3.976 0.000 1.666
Tl 0.000 0.000 3.332
Rh 0.000 0.000 0.000
Rh 0.000 3.976 1.666
```

No. 8
First-principles (PBE-GGA) data for a relaxed Y2TlRh crystal, as listed in Alexandria.

Output
Total magnetic moment ... 0.00 Bohr magnetons per cell
Symmetry ... F-43m
ρ ... 9.1 Mg/m³
Volume ... 22.0 Å³/atom
Energy of formation from the pure elements ... -1.32 eV/f.u.
Electronic total energy ... -0.440 Ry/atom

```
4
Lattice="0.000 3.531 3.531 3.531 0.000 3.531 3.531 3.531 0.000" Properties=species:S:1:pos:R:3 pbc="T T T"
Y 0.000 0.000 0.000
Y 1.766 1.766 1.766
Tl 5.297 5.297 5.297
Rh 3.531 3.531 3.531
```